(1)
The following is a DFT calculation (PBE) of a relaxed structure of La3Nd3ErS8.

```
La3Nd3ErS8
1.0
-1.161 -7.025 -3.966
0.321 0.076 8.144
-6.490 3.248 -3.854
Er S La Nd
1 8 3 3
direct
0.000 0.000 0.500
0.251 0.503 0.254
0.749 0.497 0.746
0.241 0.003 0.265
0.762 0.523 0.265
0.759 0.997 0.735
0.238 0.477 0.735
0.238 0.997 0.735
0.762 0.003 0.265
0.000 0.500 0.000
0.000 0.000 0.000
0.500 0.500 0.000
0.500 0.500 0.500
0.000 0.500 0.500
0.500 0.000 0.500
```

Values from the calculation:
* V: 25.8 Å³ per atom
* electronic total energy: -6.55 eV per atom
* E_form (uncorrected): -2.11 eV per atom

=====

(2)
The following is a DFT calculation (PBE) of a relaxed structure of La3Nd4ErS8.

```
La3Nd4ErS8
1.0
8.168 0.000 0.000
0.000 8.149 -0.019
-4.084 -4.080 5.779
S Nd La Er
8 4 3 1
direct
0.761 0.745 0.003
0.752 0.755 0.503
0.239 0.255 0.997
0.758 0.254 0.515
0.248 0.245 0.497
0.242 0.746 0.485
0.758 0.255 0.997
0.242 0.745 0.003
0.000 0.000 0.500
0.500 0.000 0.500
0.000 0.000 0.000
0.500 0.000 0.000
0.000 0.500 0.500
0.500 0.500 0.000
0.500 0.500 0.500
0.000 0.500 0.000
```

Values from the calculation:
* V: 24.0 Å³ per atom
* electronic total energy: -6.53 eV per atom
* E_form (uncorrected): -2.06 eV per atom

=====

Short version: magnetic moment = 0.000; 0.000 μB/atom, in the order given.